VASP calculation (PBE) on a relaxed structure of TmSiTe.

Computed properties:
The calculated volume is 28.58 Å³ per atom. As for the space group: No. 216. The value obtained for the total energy is -13.4 eV per cell. The value obtained for the total magnetization is 0.00 μB/atom.

Cell: 4.949 4.949 4.949 Å, 60.00 60.00 60.00°
Element x y z (fractional)
Si 0.250 0.250 0.250
Te 0.750 0.750 0.750
Tm 0.000 0.000 0.000